A plane-wave DFT calculation with PBE-GGA was carried out for a relaxed CsP2Ir2 crystal.

```
CsP2Ir2
1.0
-1.987 1.987 7.266
1.987 -1.987 7.266
1.987 1.987 -7.266
Cs P Ir
1 2 2
direct
0.000 0.000 0.000
0.338 0.338 0.000
0.662 0.662 0.000
0.250 0.750 0.500
0.750 0.250 0.500
```

Its total energy is -32.642 eV/f.u. The calculation puts the calculated formation energy at -649 meV per atom. Its space group is I4/mmm (139).